1.
Entry from Alexandria via LeMat-Bulk: TiTlGe2Br at its PBEsol-relaxed geometry (SCAN).

Summary:
Electronic total energy in eV per cell: -141.64

Structure (CIF):
```
data_TiTlGe2Br
_symmetry_space_group_name_H-M 'P 4/m m m'
_symmetry_Int_Tables_number 123
_symmetry_space_group_name_Hall '-P 4 2'
_cell_length_a 5.217
_cell_length_b 5.217
_cell_length_c 5.491
_cell_angle_alpha 90.00
_cell_angle_beta 90.00
_cell_angle_gamma 90.00
loop_
_atom_site_label
_atom_site_fract_x
_atom_site_fract_y
_atom_site_fract_z
Ti1 0.000 0.000 0.000
Tl1 0.000 0.000 0.500
Ge1 0.000 0.500 0.500
Br1 0.500 0.500 0.000
```



2.
Entry from Alexandria via LeMat-Bulk: TlGe2Br2 at its PBEsol-relaxed geometry (SCAN).

Summary:
Electronic total energy in eV per cell: -300.92

Structure (CIF):
```
data_TlGe2Br2
_symmetry_space_group_name_H-M 'I 4/m m m'
_symmetry_Int_Tables_number 139
_symmetry_space_group_name_Hall '-I 4 2'
_cell_length_a 3.814
_cell_length_b 3.814
_cell_length_c 17.768
_cell_angle_alpha 90.00
_cell_angle_beta 90.00
_cell_angle_gamma 90.00
loop_
_atom_site_label
_atom_site_fract_x
_atom_site_fract_y
_atom_site_fract_z
Tl1 0.000 0.000 0.000
Ge1 0.000 0.500 0.250
Br1 0.000 0.000 0.390
```



> Look up the electronic total energy of the second one.

-300.92 eV per cell



> The highest electronic total energy belongs to which entry?

TiTlGe2Br



> Number 1 is which compound?

TiTlGe2Br



> Among the records above, which one has the highest electronic total energy?

TiTlGe2Br